Here is crystalline LaNi4P3 at its relaxed geometry from the Alexandria database. Energies are from GGA-PBE.

The structure belongs to space group P4/mmm (No. 123); the cell edges are 3.797, 3.797 and 8.176 Å and the angles 90.00°, 90.00° and 90.00°. Symmetry generates all atoms from La at (0.000, 0.000, 0.000), Ni at (0.000, 0.500, 0.343), P at (0.000, 0.000, 0.500) and P at (0.500, 0.500, 0.195).

As for the energy: -6.312 eV/atom. The crystal system is tetragonal. The magnetization comes out at 0.00 μB/f.u.